# Li2VO2F

A relaxed structure of Li2VO2F (PBE+U, Alexandria via LeMat-Bulk).

The structure in extended XYZ format:
```
24
Lattice="5.207 -3.011 0.000 5.207 3.011 0.000 -5.167 0.000 7.338" Properties=species:S:1:pos:R:3 pbc="T T T"
Li 0.000 0.000 0.000
Li -1.687 0.000 5.117
Li 0.951 1.380 5.147
Li 2.553 1.369 7.211
Li 0.195 0.000 7.213
Li 0.951 -1.380 5.147
Li 3.386 0.000 5.162
Li 2.553 -1.369 7.211
V 4.361 1.539 2.588
V 1.701 0.000 2.597
V 6.944 0.000 2.515
V 4.361 -1.539 2.588
O 2.620 1.498 3.601
O -0.012 0.000 3.701
O 6.061 1.545 1.460
O 1.772 0.000 6.188
O 5.189 0.000 3.592
O 2.620 -1.498 3.601
O 8.718 0.000 1.459
O 6.061 -1.545 1.460
F -3.428 0.000 6.215
F -0.842 1.501 6.232
F 3.472 0.000 1.329
F -0.842 -1.501 6.232
```

Computed properties:
Crystal system   monoclinic
DFT total energy   -0.452 Ry per atom
Distance to the lowest polymorph of the same formula   0.51 eV/f.u.